Material: Ce2CoO5
Method: DFT, PBE with a Hubbard U
State: relaxed

The value obtained for the total energy is -255.4 eV for the cell shown. Its magnetization is 12.10 μB per cell.

The space group is Pnma (No. 62) and the conventional cell measures 10.5786, 3.7673 and 11.4959 Å, with angles of 90.00, 90.00 and 90.00 degrees. The inequivalent atoms are Ce at (0.1030, 0.2500, 0.2302), Ce at (0.1460, 0.2500, 0.5668), Co at (0.1807, 0.2500, 0.8844), O at (0.0203, 0.2500, 0.7967), O at (0.0207, 0.7500, 0.5920), O at (0.2133, 0.2500, 0.0570), O at (0.2299, 0.7500, 0.2235) and O at (0.2381, 0.2500, 0.3903).